[1]
ScCdPdPb: relaxed, GGA-PBE.

Calculated values
Electronic total energy: -4.360 eV per atom
Density: 9.3 g/cm3
Formation enthalpy at 0 K: -0.323 eV per atom
Volume: 335.7 Å³/cell
Crystal system: cubic

a b c (Å): 6.950 6.950 6.950
angles (deg): 90.00 90.00 90.00
Space group F-43m (No. 216)
Asymmetric unit:
Sc  0.000  0.000  0.000 (multiplicity 4)
Cd  0.000  0.000  0.500 (multiplicity 4)
Pd  0.250  0.250  0.750 (multiplicity 4)
Pb  0.250  0.250  0.250 (multiplicity 4)

---

[2]
SmCdPdPb: relaxed, GGA-PBE.

Calculated values
Electronic total energy: -4.061 eV per atom
Density: 10.2 g/cm3
Formation enthalpy at 0 K: -0.427 eV per atom
Volume: 374.1 Å³/cell
Crystal system: cubic

a b c (Å): 7.205 7.205 7.205
angles (deg): 90.00 90.00 90.00
Space group F-43m (No. 216)
Asymmetric unit:
Sm  0.000  0.000  0.000 (multiplicity 4)
Cd  0.250  0.250  0.250 (multiplicity 4)
Pd  0.250  0.250  0.750 (multiplicity 4)
Pb  0.000  0.000  0.500 (multiplicity 4)

---

[3]
Sr2CdPd4Pb3: relaxed, GGA-PBE.

Calculated values
Electronic total energy: -4.101 eV per atom
Density: 8.8 g/cm3
Formation enthalpy at 0 K: -0.484 eV per atom
Volume: 252.6 Å³/cell
Crystal system: tetragonal

a b c (Å): 4.826 4.826 10.846
angles (deg): 90.00 90.00 90.00
Space group P-4m2 (No. 115)
Asymmetric unit:
Sr  0.000  0.500  0.242 (multiplicity 2)
Cd  0.000  0.000  0.500 (multiplicity 1)
Pd  0.000  0.000  0.000 (multiplicity 1)
Pd  0.000  0.500  0.628 (multiplicity 2)
Pd  0.500  0.500  0.000 (multiplicity 1)
Pb  0.000  0.500  0.878 (multiplicity 2)
Pb  0.500  0.500  0.500 (multiplicity 1)

---

[4]
TbCdPdPb: relaxed, GGA-PBE.

Calculated values
Electronic total energy: -4.024 eV per atom
Density: 10.6 g/cm3
Formation enthalpy at 0 K: -0.412 eV per atom
Volume: 365.1 Å³/cell
Crystal system: cubic

a b c (Å): 7.147 7.147 7.147
angles (deg): 90.00 90.00 90.00
Space group F-43m (No. 216)
Asymmetric unit:
Tb  0.000  0.000  0.000 (multiplicity 4)
Cd  0.250  0.250  0.750 (multiplicity 4)
Pd  0.250  0.250  0.250 (multiplicity 4)
Pb  0.000  0.000  0.500 (multiplicity 4)

---

[5]
TlCdPdPb2: relaxed, GGA-PBE.

Calculated values
Electronic total energy: -3.089 eV per atom
Offset from the most stable computed form: 60 meV/atom
Density: 8.9 g/cm3
Formation enthalpy at 0 K: 0.090 eV per atom
Volume: 156.6 Å³/cell
Crystal system: tetragonal

a b c (Å): 5.418 5.418 5.334
angles (deg): 90.00 90.00 90.00
Space group P4/mmm (No. 123)
Asymmetric unit:
Tl  0.000  0.000  0.000 (multiplicity 1)
Cd  0.500  0.500  0.000 (multiplicity 1)
Pd  0.000  0.000  0.500 (multiplicity 1)
Pb  0.000  0.500  0.500 (multiplicity 2)

---

[6]
TlCdPdPb2: relaxed, GGA-PBE.

Calculated values
Electronic total energy: -3.148 eV per atom
Offset from the most stable computed form: 0 meV/atom
Density: 9.1 g/cm3
Formation enthalpy at 0 K: 0.030 eV per atom
Volume: 152.1 Å³/cell
Crystal system: tetragonal

a b c (Å): 5.369 5.369 5.278
angles (deg): 90.00 90.00 90.00
Space group P4/mmm (No. 123)
Asymmetric unit:
Tl  0.000  0.000  0.000 (multiplicity 1)
Cd  0.500  0.500  0.000 (multiplicity 1)
Pd  0.500  0.500  0.500 (multiplicity 1)
Pb  0.000  0.500  0.500 (multiplicity 2)

---

[7]
TlCd2PdPb: relaxed, GGA-PBE.

Calculated values
Electronic total energy: -2.629 eV per atom
Density: 8.4 g/cm3
Formation enthalpy at 0 K: -0.010 eV per atom
Volume: 146.1 Å³/cell
Crystal system: tetragonal

a b c (Å): 5.272 5.272 5.256
angles (deg): 90.00 90.00 90.00
Space group P4/mmm (No. 123)
Asymmetric unit:
Tl  0.000  0.000  0.000 (multiplicity 1)
Cd  0.000  0.500  0.500 (multiplicity 2)
Pd  0.500  0.500  0.500 (multiplicity 1)
Pb  0.500  0.500  0.000 (multiplicity 1)

---

[8]
Zn2CdPdPb: relaxed, GGA-PBE.

Calculated values
Electronic total energy: -1.788 eV per atom
Density: 6.8 g/cm3
Formation enthalpy at 0 K: 0.685 eV per atom
Volume: 135.4 Å³/cell
Crystal system: tetragonal

a b c (Å): 4.858 4.858 5.737
angles (deg): 90.00 90.00 90.00
Space group P4/mmm (No. 123)
Asymmetric unit:
Zn  0.000  0.500  0.000 (multiplicity 2)
Cd  0.000  0.000  0.000 (multiplicity 1)
Pd  0.500  0.500  0.500 (multiplicity 1)
Pb  0.000  0.000  0.500 (multiplicity 1)